# 1
DFT (PBE) results for a relaxed structure of Ho2ZnIr. Values from VASP.

## Properties
* crystal system: trigonal
* total energy: -5.03 eV per atom
* energy relative to the lowest polymorph listed for this composition: 468 meV per atom

```
&SYSTEM
  ibrav = 0, nat = 4, ntyp = 3
/
ATOMIC_SPECIES
Ho 164.93 Ho.upf
Zn 65.41 Zn.upf
Ir 192.22 Ir.upf
ATOMIC_POSITIONS crystal
Ho 0.8854 0.8854 0.3438
Zn 0.0000 0.0000 0.0000
Ho 0.1146 0.1146 0.6562
Ir 0.5000 0.5000 0.5000
CELL_PARAMETERS angstrom
4.0160 0.0000 0.0000
2.0080 3.4779 0.0000
2.0080 1.1593 9.2199
```


# 2
DFT (PBE) results for a relaxed structure of Ho3ZnIr3. Values from VASP.

## Properties
* crystal system: orthorhombic
* total energy: -6.74 eV per atom

```
&SYSTEM
  ibrav = 0, nat = 14, ntyp = 3
/
ATOMIC_SPECIES
Ir 192.22 Ir.upf
Ho 164.93 Ho.upf
Zn 65.41 Zn.upf
ATOMIC_POSITIONS crystal
Ir 0.2392 0.4784 0.2500
Ho 0.8020 0.6040 0.1039
Zn 0.5000 0.0000 0.0000
Ir 0.9080 0.8161 0.9089
Zn 0.5000 0.0000 0.5000
Ir 0.0920 0.1839 0.0911
Ir 0.0920 0.1839 0.4089
Ho 0.1980 0.3960 0.6039
Ir 0.9080 0.8161 0.5911
Ho 0.5192 0.0384 0.2500
Ho 0.8020 0.6040 0.3961
Ir 0.7608 0.5216 0.7500
Ho 0.1980 0.3960 0.8961
Ho 0.4808 0.9616 0.7500
CELL_PARAMETERS angstrom
-1.7244 3.6928 0.8151
0.6236 -3.0438 4.5128
12.4166 5.3763 1.9106
```